No. 1
DFT (PBE) results for a relaxed structure of VPRh.

Results
- raw total energy (eV per atom) = -7.61
- magnetic moment (μB per cell) = 0.00
- E_form (eV per atom) = -0.32

Cell lengths 4.358, 4.358, 4.358 Å; angles 134.90, 134.90, 65.69 degrees
Fractional positions:
1 V 0.000 0.000 0.000
2 P 0.666 0.666 0.000
3 Rh 0.335 0.335 0.000

=====

No. 2
DFT (PBE) results for a relaxed structure of V3PRh.

Results
- raw total energy (eV per atom) = -7.77
- magnetic moment (μB per cell) = 0.02
- E_form (eV per atom) = 0.25

Cell lengths 4.266, 4.266, 4.266 Å; angles 90.00, 90.00, 90.00 degrees
Fractional positions:
1 V 0.000 0.000 0.500
2 V 0.000 0.500 0.000
3 V 0.500 0.000 0.000
4 P 0.000 0.000 0.000
5 Rh 0.500 0.500 0.500

=====

No. 3
DFT (PBE) results for a relaxed structure of VPRh3.

Results
- raw total energy (eV per atom) = -6.36
- magnetic moment (μB per cell) = 0.00
- E_form (eV per atom) = 0.95

Cell lengths 4.471, 4.471, 4.471 Å; angles 90.00, 90.00, 90.00 degrees
Fractional positions:
1 V 0.000 0.000 0.000
2 P 0.500 0.500 0.500
3 Rh 0.000 0.000 0.500
4 Rh 0.000 0.500 0.000
5 Rh 0.500 0.000 0.000

=====

No. 4
DFT (PBE) results for a relaxed structure of VPRh.

Results
- raw total energy (eV per atom) = -8.04
- magnetic moment (μB per cell) = 5.25
- E_form (eV per atom) = -0.75

Cell lengths 6.117, 3.728, 10.511 Å; angles 90.00, 90.95, 90.00 degrees
Fractional positions:
1 V 0.033 0.250 0.216
2 V 0.354 0.750 0.580
3 V 0.463 0.750 0.885
4 V 0.537 0.250 0.115
5 V 0.646 0.250 0.420
6 V 0.967 0.750 0.784
7 P 0.254 0.250 0.418
8 P 0.255 0.750 0.082
9 P 0.265 0.250 0.753
10 P 0.735 0.750 0.247
11 P 0.745 0.250 0.918
12 P 0.746 0.750 0.582
13 Rh 0.020 0.250 0.591
14 Rh 0.146 0.250 0.959
15 Rh 0.372 0.750 0.291
16 Rh 0.628 0.250 0.709
17 Rh 0.854 0.750 0.041
18 Rh 0.980 0.750 0.409

=====

No. 5
DFT (PBE) results for a relaxed structure of V2PRh.

Results
- raw total energy (eV per atom) = -7.91
- magnetic moment (μB per cell) = 0.00
- E_form (eV per atom) = -0.16

Cell lengths 5.350, 5.350, 5.350 Å; angles 103.00, 103.00, 123.38 degrees
Fractional positions:
1 V 0.101 0.125 0.476
2 V 0.375 0.899 0.024
3 V 0.649 0.625 0.524
4 V 0.875 0.351 0.976
5 P 0.000 0.000 0.000
6 P 0.750 0.250 0.500
7 Rh 0.250 0.750 0.500
8 Rh 0.500 0.500 0.000

=====

No. 6
DFT (PBE) results for a relaxed structure of VPRh3.

Results
- raw total energy (eV per atom) = -7.23
- magnetic moment (μB per cell) = 2.84
- E_form (eV per atom) = 0.09

Cell lengths 4.350, 4.350, 4.350 Å; angles 90.00, 90.00, 90.00 degrees
Fractional positions:
1 V 0.000 0.000 0.000
2 P 0.500 0.500 0.500
3 Rh 0.000 0.500 0.500
4 Rh 0.500 0.000 0.500
5 Rh 0.500 0.500 0.000